[1]
This record from Alexandria describes a relaxed K3Pr3TaS8 crystal. The functional is PBE.

Geometry as POSCAR:
```
K3Pr3TaS8
1.0
4.0652 2.3470 7.5574
-4.0652 2.3470 7.5574
0.0000 -4.6941 7.5574
K Pr Ta S
3 3 1 8
direct
0.0000 0.5000 0.5000 K
0.5000 0.0000 0.5000 K
0.5000 0.5000 0.0000 K
0.0000 0.0000 0.5000 Pr
0.0000 0.5000 0.0000 Pr
0.5000 0.0000 0.0000 Pr
0.5000 0.5000 0.5000 Ta
0.2383 0.2383 0.2383 S
0.2684 0.7115 0.7115 S
0.2885 0.2885 0.7316 S
0.2885 0.7316 0.2885 S
0.7115 0.2684 0.7115 S
0.7115 0.7115 0.2684 S
0.7316 0.2885 0.2885 S
0.7617 0.7617 0.7617 S
```

Uncorrected formation energy ... -1.611 eV/atom
Symmetry ... R-3m
N(E_F) ... 4.73 states/eV/f.u.
Magnetic moment ... 0.0371 μB per atom


[2]
This record from Alexandria describes a relaxed Tc2AgBPb crystal. The functional is PBE.

Geometry as POSCAR:
```
Tc2AgBPb
1.0
5.1764 0.0000 0.0000
0.0000 5.1764 0.0000
0.0000 0.0000 5.1605
Tc Ag B Pb
2 1 1 1
direct
0.0000 0.5000 0.0000 Tc
0.5000 0.0000 0.0000 Tc
0.0000 0.0000 0.0000 Ag
0.5000 0.5000 0.5000 B
0.0000 0.0000 0.5000 Pb
```

Symmetry ... P4/mmm
E_form ... 2.690 eV/atom
N(E_F) ... 3.50 states/eV/f.u.
Magnetic moment ... 1.3734 μB per atom


Number 1: uncorrected energy -86.66 eV per cell. Number 2: uncorrected energy -20.52 eV per cell.